Record 1
VASP calculation (PBE) on an optimized crystal structure of PuZrCu.

Cell: 8.9191 8.6370 3.8541 Å, 81.45 73.26 25.30°
Fractional positions:
Pu1 0.1842 0.8158 0.1842
Pu2 0.8158 0.1842 0.8158
Zr1 0.3696 0.3696 0.6304
Zr2 0.6304 0.6304 0.3696
Cu1 0.2500 0.2500 0.2500
Cu2 0.7500 0.7500 0.7500

## Properties
- total energy (eV per atom) = -8.664
- space group = Fmmm, No. 69

=====

Record 2
VASP calculation (PBE) on an optimized crystal structure of Cs2PtI6Br.

Cell: 8.6018 8.6018 8.6018 Å, 122.38 122.38 85.92°
Fractional positions:
Cs1 0.2500 0.7500 0.5000
Cs2 0.7500 0.2500 0.5000
Pt1 0.0000 0.0000 0.0000
I1 0.2136 0.2136 0.0000
I2 0.2345 0.2345 0.4691
I3 0.2345 0.7655 0.0000
I4 0.7655 0.2345 0.0000
I5 0.7655 0.7655 0.5309
I6 0.7864 0.7864 0.0000
Br1 0.5000 0.5000 0.0000

## Properties
- ΔE_f (raw) (eV per atom) = -0.713
- space group = I4/mmm, No. 139

=====

Record 3
VASP calculation (PBE) on an optimized crystal structure of PrH2Ru.

Cell: 3.1747 4.1208 4.1447 Å, 104.83 90.11 90.10°
Fractional positions:
Pr1 0.0000 0.0000 0.0000
H1 0.0004 0.3557 0.6443
H2 0.9996 0.6443 0.3557
Ru1 0.5000 0.5000 0.5000

## Properties
- total energy (eV per atom) = -5.377
- space group = P-1, No. 2

=====

Record 4
VASP calculation (PBE) on an optimized crystal structure of Cs4Au2Se.

Cell: 6.7245 6.7245 19.9181 Å, 90.00 90.00 90.00°
Fractional positions:
Cs1 0.0000 0.0000 0.1901
Cs2 0.0000 0.0000 0.8099
Cs3 0.0000 0.5000 0.0000
Cs4 0.0000 0.5000 0.5000
Cs5 0.5000 0.0000 0.0000
Cs6 0.5000 0.0000 0.5000
Cs7 0.5000 0.5000 0.3099
Cs8 0.5000 0.5000 0.6901
Au1 0.0000 0.0000 0.3634
Au2 0.0000 0.0000 0.6366
Au3 0.5000 0.5000 0.1366
Au4 0.5000 0.5000 0.8634
Se1 0.0000 0.0000 0.5000
Se2 0.5000 0.5000 0.0000

## Properties
- ΔE_f (raw) (eV per atom) = -0.287
- space group = I4/mmm, No. 139

=====

Record 5
VASP calculation (PBE) on an optimized crystal structure of La2InSi.

Cell: 4.6547 5.6652 8.9626 Å, 90.00 90.00 90.00°
Fractional positions:
La1 0.0000 0.0000 0.0000
La2 0.0000 0.5000 0.3620
La3 0.5000 0.0000 0.3620
La4 0.5000 0.5000 0.0000
In1 0.0000 0.5000 0.7409
In2 0.5000 0.0000 0.7409
Si1 0.0000 0.0000 0.5768
Si2 0.5000 0.5000 0.5768

## Properties
- ΔE_f (raw) (eV per atom) = -0.129
- space group = Cmm2, No. 35

=====

Record 6
VASP calculation (PBE) on an optimized crystal structure of CoBSe2.

Cell: 3.8667 3.8667 18.3116 Å, 90.00 90.00 120.00°
Fractional positions:
Co1 0.0000 0.0000 0.0000
Co2 0.3333 0.6667 0.6667
Co3 0.6667 0.3333 0.3333
B1 0.0000 0.0000 0.5000
B2 0.3333 0.6667 0.1667
B3 0.6667 0.3333 0.8333
Se1 0.0000 0.0000 0.3989
Se2 0.0000 0.0000 0.6011
Se3 0.3333 0.6667 0.0656
Se4 0.3333 0.6667 0.2678
Se5 0.6667 0.3333 0.7322
Se6 0.6667 0.3333 0.9344

## Properties
- ΔE_f (raw) (eV per atom) = 0.386
- space group = R-3m, No. 166

=====

Record 7
VASP calculation (PBE) on an optimized crystal structure of LiCe2In2H.

Cell: 8.3621 8.3621 8.3621 Å, 133.49 63.17 139.73°
Fractional positions:
Li1 0.2500 0.2500 0.0000
Li2 0.7500 0.7500 0.0000
Ce1 0.1165 0.6238 0.7403
Ce2 0.3835 0.1238 0.5073
Ce3 0.6165 0.8762 0.4927
Ce4 0.8835 0.3762 0.2597
In1 0.1535 0.1354 0.2889
In2 0.3465 0.6354 0.9820
In3 0.6535 0.3646 0.0180
In4 0.8465 0.8646 0.7111
H1 0.2500 0.7500 0.5000
H2 0.7500 0.2500 0.5000

## Properties
- total energy (eV per atom) = -3.976
- space group = Ibam, No. 72

=====

Record 8
VASP calculation (PBE) on an optimized crystal structure of K2CoP.

Cell: 4.1848 5.0544 8.0833 Å, 90.00 90.56 90.00°
Fractional positions:
K1 0.2363 0.0000 0.2849
K2 0.7637 0.0000 0.7151
Co1 0.0000 0.5000 0.5000
P1 0.5000 0.5000 0.5000

## Properties
- total energy (eV per atom) = -3.626
- space group = P2/m, No. 10